# 1
VASP calculation (PBE) on SrYSe after structural relaxation.

Properties
ΔE to the lowest computed polymorph in meV per atom: 0
Symmetry: P3m1

Structure (extended XYZ):
```
3
Lattice="4.051 0.000 0.000 -2.025 3.508 0.000 0.000 0.000 6.989" Properties=species:S:1:pos:R:3 pbc="T T T"
Sr 0.000 0.000 0.000
Y 2.025 1.169 3.255
Se 0.000 2.339 4.948
```


# 2
VASP calculation (PBE) on SrY4Se after structural relaxation.

Properties
Symmetry: F-43m

Structure (extended XYZ):
```
6
Lattice="0.000 4.733 4.733 4.733 0.000 4.733 4.733 4.733 0.000" Properties=species:S:1:pos:R:3 pbc="T T T"
Sr 0.000 0.000 0.000
Y 5.926 3.540 3.540
Y 3.540 5.926 3.540
Y 3.540 3.540 5.926
Y 5.926 5.926 5.926
Se 2.367 2.367 2.367
```


# 3
VASP calculation (PBE) on SrYSe2 after structural relaxation.

Properties
ΔE to the lowest computed polymorph in meV per atom: 48
Symmetry: P4/mmm

Structure (extended XYZ):
```
4
Lattice="4.245 0.000 0.000 0.000 4.245 0.000 0.000 0.000 6.000" Properties=species:S:1:pos:R:3 pbc="T T T"
Sr 0.000 0.000 0.000
Y 2.122 2.122 3.000
Se 0.000 0.000 3.000
Se 2.122 2.122 0.000
```


# 4
VASP calculation (PBE) on Sr2YSe after structural relaxation.

Properties
Symmetry: R-3m

Structure (extended XYZ):
```
4
Lattice="2.051 1.184 10.492 -2.051 1.184 10.492 0.000 -2.369 10.492" Properties=species:S:1:pos:R:3 pbc="T T T"
Sr 0.000 0.000 7.198
Sr 0.000 0.000 24.280
Y 0.000 0.000 0.000
Se 0.000 0.000 15.739
```


# 5
VASP calculation (PBE) on SrY2Se after structural relaxation.

Properties
Symmetry: P2/m

Structure (extended XYZ):
```
4
Lattice="6.287 0.000 0.000 0.000 3.875 0.000 -3.136 0.000 5.698" Properties=species:S:1:pos:R:3 pbc="T T T"
Sr 0.000 0.000 0.000
Y 0.003 1.937 3.642
Y 3.147 1.937 2.056
Se 3.143 0.000 0.000
```


# 6
VASP calculation (PBE) on SrY2Se after structural relaxation.

Properties
Symmetry: I-42d

Structure (extended XYZ):
```
8
Lattice="-4.678 4.678 3.172 4.678 -4.678 3.172 4.678 4.678 -3.172" Properties=species:S:1:pos:R:3 pbc="T T T"
Sr 0.000 0.000 0.000
Sr 0.000 4.678 1.586
Y 2.339 3.247 -0.793
Y 6.108 2.339 0.793
Y 2.339 1.431 2.379
Y -1.431 2.339 3.965
Se 4.678 0.000 1.586
Se 0.000 0.000 3.172
```


# 7
VASP calculation (PBE) on SrY2Se2 after structural relaxation.

Properties
Symmetry: I4/mmm

Structure (extended XYZ):
```
5
Lattice="-2.259 2.259 7.064 2.259 -2.259 7.064 2.259 2.259 -7.064" Properties=species:S:1:pos:R:3 pbc="T T T"
Sr 0.000 0.000 0.000
Y 2.259 0.000 3.532
Y 0.000 2.259 3.532
Se 0.000 0.000 5.420
Se 0.000 0.000 8.708
```


# 8
VASP calculation (PBE) on SrYSe2 after structural relaxation.

Properties
ΔE to the lowest computed polymorph in meV per atom: 234
Symmetry: Amm2

Structure (extended XYZ):
```
4
Lattice="4.337 0.000 0.000 0.000 2.035 6.348 0.000 -2.035 6.348" Properties=species:S:1:pos:R:3 pbc="T T T"
Sr 0.000 0.000 0.000
Y 2.168 0.000 9.181
Se 0.000 0.000 3.128
Se 2.168 0.000 6.354
```


# 9
VASP calculation (PBE) on Sr2YSe after structural relaxation.

Properties
Symmetry: Cmm2

Structure (extended XYZ):
```
4
Lattice="2.210 -3.189 0.000 2.210 3.189 0.000 0.000 0.000 10.523" Properties=species:S:1:pos:R:3 pbc="T T T"
Sr 0.000 0.000 0.000
Sr 2.210 0.000 3.528
Y 2.210 0.000 7.487
Se 0.000 0.000 5.669
```


# 10
VASP calculation (PBE) on SrY2Se after structural relaxation.

Properties
Symmetry: Pmmm

Structure (extended XYZ):
```
4
Lattice="3.919 0.000 0.000 0.000 5.288 0.000 0.000 0.000 6.027" Properties=species:S:1:pos:R:3 pbc="T T T"
Sr 0.000 0.000 0.000
Y 0.000 2.644 3.013
Y 1.960 0.000 3.013
Se 1.960 2.644 0.000
```


# 11
VASP calculation (PBE) on SrY2Se after structural relaxation.

Properties
Symmetry: P4/mmm

Structure (extended XYZ):
```
4
Lattice="5.382 0.000 0.000 0.000 5.382 0.000 0.000 0.000 4.027" Properties=species:S:1:pos:R:3 pbc="T T T"
Sr 0.000 0.000 0.000
Y 0.000 2.691 2.013
Y 2.691 0.000 2.013
Se 2.691 2.691 0.000
```


# 12
VASP calculation (PBE) on Sr2YSe after structural relaxation.

Properties
Symmetry: F-43m

Structure (extended XYZ):
```
4
Lattice="0.000 4.096 4.096 4.096 0.000 4.096 4.096 4.096 0.000" Properties=species:S:1:pos:R:3 pbc="T T T"
Sr 0.000 0.000 0.000
Sr 2.048 2.048 2.048
Y 6.144 6.144 6.144
Se 4.096 4.096 4.096
```


# 13
VASP calculation (PBE) on SrYSe2 after structural relaxation.

Properties
ΔE to the lowest computed polymorph in meV per atom: 281
Symmetry: P2/m

Structure (extended XYZ):
```
4
Lattice="3.660 0.000 0.000 0.000 3.662 0.000 -0.013 0.000 7.431" Properties=species:S:1:pos:R:3 pbc="T T T"
Sr 0.000 0.000 0.000
Y -0.006 0.000 3.715
Se 1.825 1.831 1.995
Se 1.823 1.831 5.435
```


# 14
VASP calculation (PBE) on SrY2Se after structural relaxation.

Properties
Symmetry: Cm

Structure (extended XYZ):
```
4
Lattice="6.093 -1.888 0.000 6.093 1.888 0.000 -3.376 0.000 5.731" Properties=species:S:1:pos:R:3 pbc="T T T"
Sr 0.000 0.000 0.000
Y -0.035 0.000 3.719
Y 3.294 0.000 2.194
Se 8.841 0.000 0.055
```


# 15
VASP calculation (PBE) on SrY2Se after structural relaxation.

Properties
Symmetry: Immm

Structure (extended XYZ):
```
4
Lattice="-1.840 2.847 5.967 1.840 -2.847 5.967 1.840 2.847 -5.967" Properties=species:S:1:pos:R:3 pbc="T T T"
Sr 0.000 0.000 0.000
Y 1.840 0.000 3.621
Y 0.000 2.847 2.345
Se 0.000 0.000 5.967
```


# 16
VASP calculation (PBE) on Sr2YSe after structural relaxation.

Properties
Symmetry: Cmmm

Structure (extended XYZ):
```
4
Lattice="3.444 -4.988 0.000 3.444 4.988 0.000 0.000 0.000 4.001" Properties=species:S:1:pos:R:3 pbc="T T T"
Sr 1.722 2.494 0.000
Sr 1.722 -2.494 0.000
Y 0.000 0.000 2.000
Se 3.444 0.000 2.000
```


# 17
VASP calculation (PBE) on Sr2YSe after structural relaxation.

Properties
Symmetry: Immm

Structure (extended XYZ):
```
4
Lattice="-1.941 2.883 6.393 1.941 -2.883 6.393 1.941 2.883 -6.393" Properties=species:S:1:pos:R:3 pbc="T T T"
Sr 0.000 0.000 2.407
Sr 0.000 0.000 10.379
Y 0.000 2.883 0.000
Se 1.941 0.000 0.000
```


# 18
VASP calculation (PBE) on SrY2Se after structural relaxation.

Properties
Symmetry: R-3m

Structure (extended XYZ):
```
4
Lattice="1.967 1.135 10.023 -1.967 1.135 10.023 0.000 -2.271 10.023" Properties=species:S:1:pos:R:3 pbc="T T T"
Sr 0.000 0.000 0.000
Y 0.000 0.000 6.730
Y 0.000 0.000 23.339
Se 0.000 0.000 15.034
```


# 19
VASP calculation (PBE) on Sr2YSe after structural relaxation.

Properties
Symmetry: Cm

Structure (extended XYZ):
```
4
Lattice="6.622 -1.940 0.000 6.622 1.940 0.000 -3.195 0.000 5.897" Properties=species:S:1:pos:R:3 pbc="T T T"
Sr 0.000 0.000 0.000
Sr 0.234 0.000 3.993
Y 3.752 0.000 2.244
Se 9.230 0.000 0.467
```


# 20
VASP calculation (PBE) on SrY2Se after structural relaxation.

Properties
Symmetry: I4/mmm

Structure (extended XYZ):
```
4
Lattice="-2.289 2.289 6.129 2.289 -2.289 6.129 2.289 2.289 -6.129" Properties=species:S:1:pos:R:3 pbc="T T T"
Sr 0.000 0.000 0.000
Y 2.289 0.000 3.065
Y 0.000 2.289 3.065
Se 0.000 0.000 6.129
```


Number 1: E_form (uncorrected) -3.31 eV/f.u.. Number 2: E_form (uncorrected) 1.41 eV/f.u.. Number 3: E_form (uncorrected) -7.38 eV/f.u.. Number 4: E_form (uncorrected) -3.03 eV/f.u.. Number 5: E_form (uncorrected) -2.65 eV/f.u.. Number 6: E_form (uncorrected) -2.09 eV/f.u.. Number 7: E_form (uncorrected) -5.56 eV/f.u.. Number 8: E_form (uncorrected) -6.63 eV/f.u.. Number 9: E_form (uncorrected) -2.77 eV/f.u.. Number 10: E_form (uncorrected) -1.31 eV/f.u.. Number 11: E_form (uncorrected) -0.83 eV/f.u.. Number 12: E_form (uncorrected) -0.26 eV/f.u.. Number 13: E_form (uncorrected) -6.45 eV/f.u.. Number 14: E_form (uncorrected) -2.68 eV/f.u.. Number 15: E_form (uncorrected) -2.74 eV/f.u.. Number 16: E_form (uncorrected) -1.48 eV/f.u.. Number 17: E_form (uncorrected) -2.03 eV/f.u.. Number 18: E_form (uncorrected) -3.08 eV/f.u.. Number 19: E_form (uncorrected) -2.78 eV/f.u.. Number 20: E_form (uncorrected) -1.32 eV/f.u..